(1)
Below is a relaxed LaPr8Y5 crystal, with properties calculated at the PBE level.

a = 8.681 Å, b = 8.681 Å, c = 8.681 Å
α = 111.87°, β = 104.77°, γ = 111.87°
Sites, in units of the cell vectors:
Y1 0.500 0.000 0.500
Y2 0.816 0.684 0.725
Y3 0.275 0.091 0.960
Y4 0.869 0.909 0.184
Y5 0.040 0.316 0.131
Pr1 0.570 0.910 0.839
Pr2 0.533 0.603 0.277
Pr3 0.340 0.269 0.430
Pr4 0.723 0.257 0.327
Pr5 0.161 0.731 0.071
Pr6 0.929 0.090 0.660
Pr7 0.070 0.743 0.467
Pr8 0.673 0.397 0.930
La1 0.250 0.500 0.750

**Theoretical density**: 5.669 Mg/m³
**Space-group type**: I-4, No. 82

(2)
Below is a relaxed AcPrTm2 crystal, with properties calculated at the PBE level.

a = 5.846 Å, b = 5.846 Å, c = 5.846 Å
α = 60.00°, β = 60.00°, γ = 60.00°
Sites, in units of the cell vectors:
Tm1 0.750 0.750 0.750
Tm2 0.250 0.250 0.250
Pr1 0.500 0.500 0.500
Ac1 0.000 0.000 0.000

**Polymorph energy (0 for the lowest one)**: 0.19 eV per formula unit
**Theoretical density**: 8.296 Mg/m³
**Space-group type**: Fm-3m, No. 225

(3)
Below is a relaxed BeB crystal, with properties calculated at the PBE level.

a = 5.379 Å, b = 5.379 Å, c = 5.379 Å
α = 90.00°, β = 90.00°, γ = 90.00°
Sites, in units of the cell vectors:
B1 0.500 0.250 0.000
B2 0.250 0.000 0.500
B3 0.000 0.500 0.750
B4 0.750 0.000 0.500
B5 0.000 0.500 0.250
B6 0.500 0.750 0.000
Be1 0.750 0.500 0.000
Be2 0.500 0.000 0.750
Be3 0.000 0.250 0.500
Be4 0.000 0.750 0.500
Be5 0.250 0.500 0.000
Be6 0.500 0.000 0.250

**Polymorph energy (0 for the lowest one)**: 2.95 eV per formula unit
**Theoretical density**: 1.269 Mg/m³
**Space-group type**: Pm-3n, No. 223

Number 1: Fermi-level density of states 21.61 states/eV per cell, formation energy from the elements 0.23 eV per atom. Number 2: Fermi-level density of states 6.50 states/eV per cell, formation energy from the elements 0.10 eV per atom. Number 3: Fermi-level density of states 7.51 states/eV per cell, formation energy from the elements 1.51 eV per atom.